Entry 1:
PBE TbInAg3Te4, optimized geometry; space-group type = P-43m; total moment = 0.001 μB/atom; raw total energy = -3.5494 eV per atom; ΔE to the lowest computed polymorph = 0.0 meV/atom
1.0
6.746 0.000 0.000
0.000 6.746 0.000
0.000 0.000 6.746
Tb In Ag Te
1 1 3 4
Direct
0.000 0.000 0.000
0.500 0.500 0.500
0.000 0.000 0.500
0.000 0.500 0.000
0.500 0.000 0.000
0.248 0.248 0.752
0.248 0.752 0.248
0.752 0.248 0.248
0.752 0.752 0.752

***

Entry 2:
PBE InOsPd, optimized geometry; space-group type = F-43m; total moment = 0.565 μB/atom; raw total energy = -5.6979 eV per atom
1.0
0.000 3.111 3.111
3.111 0.000 3.111
3.111 3.111 0.000
In Os Pd
1 1 1
Direct
0.000 0.000 0.000
0.250 0.250 0.250
0.500 0.500 0.500

***

raw total energy of number 2 (InOsPd)? -5.6979 eV per atom

***

Copy entry 1 word for word.
PBE TbInAg3Te4, optimized geometry; space-group type = P-43m; total moment = 0.001 μB/atom; raw total energy = -3.5494 eV per atom; ΔE to the lowest computed polymorph = 0.0 meV/atom
1.0
6.746 0.000 0.000
0.000 6.746 0.000
0.000 0.000 6.746
Tb In Ag Te
1 1 3 4
Direct
0.000 0.000 0.000
0.500 0.500 0.500
0.000 0.000 0.500
0.000 0.500 0.000
0.500 0.000 0.000
0.248 0.248 0.752
0.248 0.752 0.248
0.752 0.248 0.248
0.752 0.752 0.752

***

What is the formula in the second record? InOsPd